(1)
Ho2CdHg8: optimized geometry, PBE.

a b c (Å): 4.6045 4.6045 12.9598
angles (deg): 90.00 90.00 90.00
With the nearest neighbours (Å) after each atom.
Atoms (fractional coordinates):
Ho1 0.0000 0.0000 0.1833  12 Hg 3.20-3.31
Ho2 0.0000 0.0000 0.8167  12 Hg 3.20-3.31
Cd1 0.0000 0.0000 0.5000  8 Hg 2.98
Hg1 0.0000 0.5000 0.0000  8 Hg 3.24-3.26, 4 Ho 3.31
Hg2 0.0000 0.5000 0.3546  2 Cd 2.98, 2 Ho 3.20, 6 Hg 3.26
Hg3 0.0000 0.5000 0.6454  2 Cd 2.98, 2 Ho 3.20, 6 Hg 3.26
Hg4 0.5000 0.0000 0.0000  8 Hg 3.24-3.26, 4 Ho 3.31
Hg5 0.5000 0.0000 0.3546  2 Cd 2.98, 2 Ho 3.20, 6 Hg 3.26
Hg6 0.5000 0.0000 0.6454  2 Cd 2.98, 2 Ho 3.20, 6 Hg 3.26
Hg7 0.5000 0.5000 0.1760  8 Hg 3.24-3.26, 4 Ho 3.26
Hg8 0.5000 0.5000 0.8240  8 Hg 3.24-3.26, 4 Ho 3.26

Summary:
magnetic moment: 0.00 μB per cell
energy above the most stable polymorph in this dataset: 0 meV per atom
SG: P4/mmm (123)
energy relative to the elements: -0.2224 eV/atom



(2)
Ho4Cd5Hg2: optimized geometry, PBE.

a b c (Å): 7.8526 3.4631 10.2063
angles (deg): 90.00 95.28 90.00
With the nearest neighbours (Å) after each atom.
Atoms (fractional coordinates):
Ho1 0.1677 0.0000 0.3848  2 Hg 3.08, 6 Cd 3.26-3.31
Ho2 0.2687 0.0000 0.9411  4 Hg 3.19-3.21, 6 Cd 3.27-3.38, 2 Ho 3.46
Ho3 0.7313 0.0000 0.0589  4 Hg 3.19-3.21, 6 Cd 3.27-3.38, 2 Ho 3.46
Ho4 0.8323 0.0000 0.6152  2 Hg 3.08, 6 Cd 3.26-3.31
Cd1 0.1924 0.5000 0.6574  2 Cd 3.02-3.05, 1 Hg 3.02, 6 Ho 3.27-3.38
Cd2 0.4476 0.5000 0.2019  1 Hg 3.00, 2 Cd 3.03-3.05, 2 Ho 3.27
Cd3 0.5000 0.5000 0.5000  4 Cd 3.02-3.03, 4 Ho 3.26
Cd4 0.5524 0.5000 0.7981  1 Hg 3.00, 2 Cd 3.03-3.05, 2 Ho 3.27
Cd5 0.8076 0.5000 0.3426  2 Cd 3.02-3.05, 1 Hg 3.02, 6 Ho 3.27-3.38
Hg1 0.0659 0.5000 0.1405  1 Hg 2.96, 2 Cd 3.00-3.02, 6 Ho 3.08-3.21
Hg2 0.9341 0.5000 0.8595  1 Hg 2.96, 2 Cd 3.00-3.02, 6 Ho 3.08-3.21

Summary:
magnetic moment: 0.00 μB per cell
SG: P2/m (10)
energy relative to the elements: -0.2891 eV/atom



(3)
HoCd8Hg4: optimized geometry, PBE.

a b c (Å): 4.2787 4.2803 17.7886
angles (deg): 90.00 90.00 90.00
With the nearest neighbours (Å) after each atom.
Atoms (fractional coordinates):
Ho1 0.0000 0.0000 0.0000  5 Cd 3.06-3.22, 4 Hg 3.27
Cd1 0.0000 0.0000 0.1720  2 Hg 3.02, 1 Ho 3.06, 2 Cd 3.15
Cd2 0.0000 0.0000 0.4409  8 Cd 3.03-3.30, 2 Hg 3.24
Cd3 0.0000 0.5000 0.5823  6 Hg 3.03-3.32, 6 Cd 3.26-3.37
Cd4 0.0000 0.5000 0.8647  6 Cd 3.03-3.34, 2 Ho 3.22, 2 Hg 3.28
Cd5 0.5000 0.0000 0.3019  4 Hg 3.03, 6 Cd 3.15-3.27
Cd6 0.5000 0.0000 0.8651  6 Cd 3.03-3.34, 2 Ho 3.22, 2 Hg 3.28
Cd7 0.5000 0.5000 0.4359  8 Cd 3.03-3.37, 4 Hg 3.30-3.34
Cd8 0.5000 0.5000 0.7205  6 Hg 3.03-3.33, 6 Cd 3.26-3.34
Hg1 0.0000 0.0000 0.7254  10 Cd 3.03-3.32
Hg2 0.0000 0.5000 0.2920  8 Cd 3.02-3.34
Hg3 0.5000 0.0000 0.5775  10 Cd 3.03-3.33
Hg4 0.5000 0.5000 0.0697  4 Ho 3.27, 4 Cd 3.53

Summary:
magnetic moment: 0.00 μB per cell
SG: Pmm2 (25)
energy relative to the elements: -0.0105 eV/atom



(4)
Ho3CdHg5: optimized geometry, PBE.

a b c (Å): 8.9633 8.9633 6.2524
angles (deg): 90.00 90.00 120.00
With the nearest neighbours (Å) after each atom.
Atoms (fractional coordinates):
Ho1 0.0000 0.3478 0.2500  9 Hg 2.99-3.32
Ho2 0.0000 0.6522 0.7500  9 Hg 2.99-3.32
Ho3 0.3478 0.0000 0.2500  9 Hg 2.99-3.32
Ho4 0.3478 0.3478 0.7500  9 Hg 2.99-3.32
Ho5 0.6522 0.0000 0.7500  9 Hg 2.99-3.32
Ho6 0.6522 0.6522 0.2500  9 Hg 2.99-3.32
Cd1 0.0000 0.0000 0.0000  2 Cd 3.13, 6 Hg 3.24, 6 Ho 3.49
Cd2 0.0000 0.0000 0.5000  2 Cd 3.13, 6 Hg 3.24, 6 Ho 3.49
Hg1 0.0000 0.3169 0.7500  5 Ho 2.99-3.14, 2 Cd 3.24
Hg2 0.0000 0.6831 0.2500  5 Ho 2.99-3.14, 2 Cd 3.24
Hg3 0.3169 0.0000 0.7500  5 Ho 2.99-3.14, 2 Cd 3.24
Hg4 0.3169 0.3169 0.2500  5 Ho 2.99-3.14, 2 Cd 3.24
Hg5 0.3333 0.6667 0.0000  8 Hg 3.13-3.44, 6 Ho 3.32
Hg6 0.3333 0.6667 0.5000  8 Hg 3.13-3.44, 6 Ho 3.32
Hg7 0.6667 0.3333 0.0000  8 Hg 3.13-3.44, 6 Ho 3.32
Hg8 0.6667 0.3333 0.5000  8 Hg 3.13-3.44, 6 Ho 3.32
Hg9 0.6831 0.0000 0.2500  5 Ho 2.99-3.14, 2 Cd 3.24
Hg10 0.6831 0.6831 0.7500  5 Ho 2.99-3.14, 2 Cd 3.24

Summary:
magnetic moment: 0.00 μB per cell
SG: P6_3/mcm (193)
energy relative to the elements: -0.3989 eV/atom



(5)
HoCdHg2: optimized geometry, PBE.

a b c (Å): 4.7455 4.7455 4.2657
angles (deg): 90.00 90.00 90.00
With the nearest neighbours (Å) after each atom.
Atoms (fractional coordinates):
Ho1 0.0000 0.0000 0.0000  8 Hg 3.19, 4 Cd 3.36
Cd1 0.5000 0.5000 0.0000  8 Hg 3.19, 4 Ho 3.36
Hg1 0.0000 0.5000 0.5000  4 Cd 3.19, 4 Ho 3.19, 4 Hg 3.36
Hg2 0.5000 0.0000 0.5000  4 Cd 3.19, 4 Ho 3.19, 4 Hg 3.36

Summary:
magnetic moment: 0.00 μB per cell
energy above the most stable polymorph in this dataset: 48 meV per atom
SG: P4/mmm (123)
energy relative to the elements: -0.3000 eV/atom



(6)
HoCd4Hg2: optimized geometry, PBE.

a b c (Å): 4.0147 6.6035 6.6689
angles (deg): 92.44 90.13 90.25
With the nearest neighbours (Å) after each atom.
Atoms (fractional coordinates):
Ho1 0.0000 0.0000 0.0000  4 Hg 3.14, 8 Cd 3.30-3.39
Cd1 0.0000 0.0000 0.5000  4 Hg 3.04-3.05, 4 Cd 3.14-3.16, 2 Ho 3.33
Cd2 0.0000 0.5000 0.0000  4 Hg 3.05-3.06, 4 Cd 3.15-3.17, 2 Ho 3.30
Cd3 0.4954 0.7041 0.7029  2 Hg 3.02-3.03, 4 Cd 3.14-3.17, 1 Ho 3.38
Cd4 0.5046 0.2959 0.2971  2 Hg 3.02-3.03, 4 Cd 3.14-3.17, 1 Ho 3.38
Hg1 0.4995 0.7492 0.2522  6 Cd 3.02-3.06, 2 Ho 3.14
Hg2 0.5005 0.2508 0.7478  6 Cd 3.02-3.06, 2 Ho 3.14

Summary:
magnetic moment: 0.00 μB per cell
energy above the most stable polymorph in this dataset: 31 meV per atom
SG: P-1 (2)
energy relative to the elements: -0.1101 eV/atom



The lowest energy relative to the elements belongs to which entry? Ho3CdHg5



magnetic moment of number 5 (HoCdHg2)? 0.00 μB per cell